The following is a DFT calculation (PBE) of a relaxed structure of CdCuCl4.

Values from the calculation:
formation energy (no corrections): -0.7307 eV/atom
ρ: 3.372 g cm⁻³
energy above the lowest structure with this stoichiometry: 0.036 eV per atom
VASP energy: -16.782 eV/f.u.
density of states at the Fermi level: 2.8 states/eV/cell

Cell lengths 10.7837, 7.4180, 7.8671 Å; angles 90.00, 95.87, 90.00 degrees
Closest atoms and distances in Å follow each position.
Space group C2/c (No. 15)
Inequivalent atoms, fractional coordinates:
1 Cd 0.2500 0.2500 0.0000  4 Cl 2.51-2.72
2 Cu 0.0000 0.1444 0.2500  4 Cl 2.28
3 Cl 0.0163 0.2564 0.9834  1 Cu 2.28, 1 Cd 2.51
4 Cl 0.2076 0.0812 0.2954  1 Cu 2.28